Record 1
Here is a geometry-optimized Cd2Ga2Te structure from Alexandria via LeMat-Bulk. Energies are from PBE-GGA.

a = 8.1602 Å, b = 8.1602 Å, c = 8.1602 Å
α = 151.82°, β = 151.82°, γ = 40.27°
Closest atoms and distances in Å follow each position.
Atoms (fractional coordinates):
1 Cd 0.1006 0.1006 0.0000  4 Ga 3.03, 1 Cd 3.08, 4 Te 3.20
2 Cd 0.8994 0.8994 0.0000  4 Ga 3.03, 1 Cd 3.08, 4 Te 3.20
3 Ga 0.2500 0.7500 0.5000  4 Ga 2.81, 4 Cd 3.03
4 Ga 0.7500 0.2500 0.5000  4 Ga 2.81, 4 Cd 3.03
5 Te 0.5000 0.5000 0.0000  8 Cd 3.20

**Calculated volume**: 121 Å³/f.u.
**E above lowest polymorph**: 0.0000 eV/atom
**Magnetic moment**: 0.0 Bohr magnetons per cell
**Density of states at the Fermi level**: 2.6 states/eV per cell
**E_form (uncorrected)**: 0.04 eV per atom

=====

Record 2
Here is a geometry-optimized Cd2GaTe structure from Alexandria via LeMat-Bulk. Energies are from PBE-GGA.

a = 5.2617 Å, b = 5.2617 Å, c = 5.2617 Å
α = 60.00°, β = 60.00°, γ = 60.00°
Closest atoms and distances in Å follow each position.
Atoms (fractional coordinates):
1 Cd 0.2500 0.2500 0.2500  4 Te 3.22, 4 Ga 3.22
2 Cd 0.7500 0.7500 0.7500  4 Te 3.22, 4 Ga 3.22
3 Ga 0.0000 0.0000 0.0000  8 Cd 3.22
4 Te 0.5000 0.5000 0.5000  8 Cd 3.22

**Calculated volume**: 103 Å³/f.u.
**E above lowest polymorph**: 0.1260 eV/atom
**Magnetic moment**: 0.0 Bohr magnetons per cell
**Density of states at the Fermi level**: 3.0 states/eV per cell
**E_form (uncorrected)**: 0.10 eV per atom

=====

Record 3
Here is a geometry-optimized CdGaTe2 structure from Alexandria via LeMat-Bulk. Energies are from PBE-GGA.

a = 5.3067 Å, b = 5.3067 Å, c = 5.3067 Å
α = 60.00°, β = 60.00°, γ = 60.00°
Closest atoms and distances in Å follow each position.
Atoms (fractional coordinates):
1 Cd 0.0000 0.0000 0.0000  8 Te 3.25
2 Ga 0.5000 0.5000 0.5000  8 Te 3.25
3 Te 0.2500 0.2500 0.2500  4 Cd 3.25, 4 Ga 3.25
4 Te 0.7500 0.7500 0.7500  4 Ga 3.25, 4 Cd 3.25

**Calculated volume**: 106 Å³/f.u.
**Magnetic moment**: 0.0 Bohr magnetons per cell
**Density of states at the Fermi level**: 2.3 states/eV per cell
**E_form (uncorrected)**: 0.01 eV per atom

=====

Record 4
Here is a geometry-optimized Cd4GaTe6 structure from Alexandria via LeMat-Bulk. Energies are from PBE-GGA.

a = 7.9224 Å, b = 7.9224 Å, c = 14.2284 Å
α = 105.52°, β = 105.52°, γ = 62.14°
Closest atoms and distances in Å follow each position.
Atoms (fractional coordinates):
1 Cd 0.0740 0.9260 0.5000  4 Te 2.85-2.93
2 Cd 0.0839 0.2846 0.8064  4 Te 2.87-2.94
3 Cd 0.1684 0.5670 0.1562  4 Te 2.88-3.00
4 Cd 0.2846 0.0839 0.3064  4 Te 2.87-2.94
5 Cd 0.5576 0.7718 0.9926  4 Te 2.89-2.94
6 Cd 0.5670 0.1684 0.6562  4 Te 2.88-3.00
7 Cd 0.7718 0.5576 0.4926  4 Te 2.89-2.94
8 Cd 0.9260 0.0740 0.0000  4 Te 2.85-2.93
9 Ga 0.1607 0.6905 0.7362  4 Te 2.57-2.64
10 Ga 0.6905 0.1607 0.2362  4 Te 2.57-2.64
11 Te 0.1462 0.5690 0.5491  1 Ga 2.57, 1 Cd 2.85
12 Te 0.2792 0.8375 0.1148  4 Cd 2.88-2.94
13 Te 0.3790 0.8820 0.7986  1 Ga 2.64, 2 Cd 2.90-2.94
14 Te 0.3898 0.3968 0.8276  1 Ga 2.61, 2 Cd 2.87-2.88
15 Te 0.3968 0.3898 0.3276  1 Ga 2.61, 2 Cd 2.87-2.88
16 Te 0.4371 0.9273 0.4904  4 Cd 2.89-2.92
17 Te 0.5690 0.1462 0.0491  1 Ga 2.57, 1 Cd 2.85
18 Te 0.8296 0.8926 0.7971  1 Ga 2.60
19 Te 0.8375 0.2792 0.6148  4 Cd 2.88-2.94
20 Te 0.8820 0.3790 0.2986  1 Ga 2.64, 2 Cd 2.90-2.94
21 Te 0.8926 0.8296 0.2971  1 Ga 2.60
22 Te 0.9273 0.4371 0.9904  4 Cd 2.89-2.92

**Calculated volume**: 375 Å³/f.u.
**Magnetic moment**: 0.0 Bohr magnetons per cell
**Density of states at the Fermi level**: 14.0 states/eV per cell
**E_form (uncorrected)**: -0.30 eV per atom

=====

Record 5
Here is a geometry-optimized CdGa2Te2 structure from Alexandria via LeMat-Bulk. Energies are from PBE-GGA.

a = 8.1425 Å, b = 8.1425 Å, c = 3.8600 Å
α = 90.00°, β = 90.00°, γ = 90.00°
Closest atoms and distances in Å follow each position.
Atoms (fractional coordinates):
1 Cd 0.0000 0.0000 0.0000  4 Ga 3.18
2 Cd 0.5000 0.5000 0.0000  4 Ga 3.18
3 Ga 0.1323 0.3677 0.0000  6 Te 2.98-3.15, 1 Ga 3.05, 2 Cd 3.18
4 Ga 0.3677 0.8677 0.0000  6 Te 2.98-3.15, 1 Ga 3.05, 2 Cd 3.18
5 Ga 0.6323 0.1323 0.0000  6 Te 2.98-3.15, 1 Ga 3.05, 2 Cd 3.18
6 Ga 0.8677 0.6323 0.0000  6 Te 2.98-3.15, 1 Ga 3.05, 2 Cd 3.18
7 Te 0.1706 0.6706 0.5000  6 Ga 2.98-3.15
8 Te 0.3294 0.1706 0.5000  6 Ga 2.98-3.15
9 Te 0.6706 0.8294 0.5000  6 Ga 2.98-3.15
10 Te 0.8294 0.3294 0.5000  6 Ga 2.98-3.15

**Calculated volume**: 128 Å³/f.u.
**E above lowest polymorph**: 0.0656 eV/atom
**Magnetic moment**: 0.0 Bohr magnetons per cell
**Density of states at the Fermi level**: 3.8 states/eV per cell
**E_form (uncorrected)**: -0.01 eV per atom

=====

Record 6
Here is a geometry-optimized CdGa2Te2 structure from Alexandria via LeMat-Bulk. Energies are from PBE-GGA.

a = 7.4944 Å, b = 7.4944 Å, c = 7.4944 Å
α = 141.10°, β = 141.10°, γ = 56.18°
Closest atoms and distances in Å follow each position.
Atoms (fractional coordinates):
1 Cd 0.0000 0.0000 0.0000  8 Te 4.04, 8 Ga 4.14
2 Ga 0.2500 0.7500 0.5000  4 Te 2.83
3 Ga 0.7500 0.2500 0.5000  4 Te 2.83
4 Te 0.3512 0.3512 0.0000  4 Ga 2.83
5 Te 0.6488 0.6488 0.0000  4 Ga 2.83

**Calculated volume**: 165 Å³/f.u.
**E above lowest polymorph**: 0.0556 eV/atom
**Magnetic moment**: 0.0 Bohr magnetons per cell
**Density of states at the Fermi level**: 2.0 states/eV per cell
**E_form (uncorrected)**: -0.02 eV per atom

=====

Record 7
Here is a geometry-optimized Cd2Ga2Te structure from Alexandria via LeMat-Bulk. Energies are from PBE-GGA.

a = 7.8283 Å, b = 7.8283 Å, c = 4.0614 Å
α = 90.00°, β = 90.00°, γ = 90.00°
Closest atoms and distances in Å follow each position.
Atoms (fractional coordinates):
1 Cd 0.1312 0.3688 0.0000  1 Cd 2.90, 6 Ga 3.00-3.12, 2 Te 3.06
2 Cd 0.3688 0.8688 0.0000  1 Cd 2.90, 6 Ga 3.00-3.12, 2 Te 3.06
3 Cd 0.6312 0.1312 0.0000  1 Cd 2.90, 6 Ga 3.00-3.12, 2 Te 3.06
4 Cd 0.8688 0.6312 0.0000  1 Cd 2.90, 6 Ga 3.00-3.12, 2 Te 3.06
5 Ga 0.1696 0.6696 0.5000  6 Cd 3.00-3.12
6 Ga 0.3304 0.1696 0.5000  6 Cd 3.00-3.12
7 Ga 0.6696 0.8304 0.5000  6 Cd 3.00-3.12
8 Ga 0.8304 0.3304 0.5000  6 Cd 3.00-3.12
9 Te 0.0000 0.0000 0.0000  4 Cd 3.06
10 Te 0.5000 0.5000 0.0000  4 Cd 3.06

**Calculated volume**: 124 Å³/f.u.
**E above lowest polymorph**: 0.0244 eV/atom
**Magnetic moment**: 0.0 Bohr magnetons per cell
**Density of states at the Fermi level**: 4.6 states/eV per cell
**E_form (uncorrected)**: 0.07 eV per atom

=====

Record 8
Here is a geometry-optimized CdGaTe2 structure from Alexandria via LeMat-Bulk. Energies are from PBE-GGA.

a = 8.2275 Å, b = 8.2275 Å, c = 8.2275 Å
α = 133.31°, β = 133.31°, γ = 68.17°
Closest atoms and distances in Å follow each position.
Atoms (fractional coordinates):
1 Cd 0.0000 0.0000 0.0000  4 Te 2.90
2 Cd 0.7500 0.2500 0.5000  4 Te 2.90
3 Ga 0.2500 0.7500 0.5000  4 Te 2.83
4 Ga 0.5000 0.5000 0.0000  4 Te 2.83
5 Te 0.1349 0.6250 0.0099  2 Ga 2.83, 2 Cd 2.90
6 Te 0.3750 0.3849 0.5099  2 Ga 2.83, 2 Cd 2.90
7 Te 0.6151 0.1250 0.9901  2 Ga 2.83, 2 Cd 2.90
8 Te 0.8750 0.8651 0.4901  2 Ga 2.83, 2 Cd 2.90

**Calculated volume**: 145 Å³/f.u.
**Magnetic moment**: 0.0 Bohr magnetons per cell
**Density of states at the Fermi level**: 4.5 states/eV per cell
**E_form (uncorrected)**: -0.26 eV per atom

=====

Record 9
Here is a geometry-optimized CdGa2Te4 structure from Alexandria via LeMat-Bulk. Energies are from PBE-GGA.

a = 7.4528 Å, b = 7.4528 Å, c = 7.4528 Å
α = 130.38°, β = 130.38°, γ = 72.80°
Closest atoms and distances in Å follow each position.
Atoms (fractional coordinates):
1 Cd 0.0000 0.0000 0.0000  4 Te 2.87
2 Ga 0.2500 0.7500 0.5000  4 Te 2.68
3 Ga 0.5000 0.5000 0.0000  4 Te 2.67
4 Te 0.1137 0.1373 0.5278  2 Ga 2.67-2.68, 1 Cd 2.87
5 Te 0.4141 0.8863 0.0236  2 Ga 2.67-2.68, 1 Cd 2.87
6 Te 0.6095 0.5859 0.4722  2 Ga 2.67-2.68, 1 Cd 2.87
7 Te 0.8627 0.3905 0.9764  2 Ga 2.67-2.68, 1 Cd 2.87

**Calculated volume**: 235 Å³/f.u.
**Magnetic moment**: 0.0 Bohr magnetons per cell
**E_form (uncorrected)**: -0.38 eV per atom

=====

Record 10
Here is a geometry-optimized CdGa2Te2 structure from Alexandria via LeMat-Bulk. Energies are from PBE-GGA.

a = 8.2628 Å, b = 8.2628 Å, c = 4.0939 Å
α = 90.00°, β = 90.00°, γ = 90.00°
Closest atoms and distances in Å follow each position.
Atoms (fractional coordinates):
1 Cd 0.0000 0.0000 0.0000  4 Te 3.01
2 Cd 0.5000 0.5000 0.0000  4 Te 3.01
3 Ga 0.1208 0.3792 0.5000  1 Ga 2.82, 2 Te 3.03
4 Ga 0.3792 0.8792 0.5000  1 Ga 2.82, 2 Te 3.03
5 Ga 0.6208 0.1208 0.5000  1 Ga 2.82, 2 Te 3.03
6 Ga 0.8792 0.6208 0.5000  1 Ga 2.82, 2 Te 3.03
7 Te 0.1884 0.6884 0.0000  2 Cd 3.01, 6 Ga 3.03-3.32
8 Te 0.3116 0.1884 0.0000  2 Cd 3.01, 6 Ga 3.03-3.32
9 Te 0.6884 0.8116 0.0000  2 Cd 3.01, 6 Ga 3.03-3.32
10 Te 0.8116 0.3116 0.0000  2 Cd 3.01, 6 Ga 3.03-3.32

**Calculated volume**: 140 Å³/f.u.
**E above lowest polymorph**: 0.0339 eV/atom
**Magnetic moment**: 0.0 Bohr magnetons per cell
**Density of states at the Fermi level**: 4.6 states/eV per cell
**E_form (uncorrected)**: -0.05 eV per atom

=====

Record 11
Here is a geometry-optimized Cd3GaTe4 structure from Alexandria via LeMat-Bulk. Energies are from PBE-GGA.

a = 8.0820 Å, b = 8.0820 Å, c = 8.0820 Å
α = 131.54°, β = 131.54°, γ = 70.96°
Closest atoms and distances in Å follow each position.
Atoms (fractional coordinates):
1 Cd 0.0000 0.0000 0.0000  4 Te 2.88
2 Cd 0.2500 0.7500 0.5000  4 Te 2.88
3 Cd 0.7500 0.2500 0.5000  4 Te 2.88
4 Ga 0.5000 0.5000 0.0000  4 Te 2.82
5 Te 0.1303 0.1303 0.5065  1 Ga 2.82, 3 Cd 2.88
6 Te 0.3763 0.8697 0.0000  1 Ga 2.82, 3 Cd 2.88
7 Te 0.6237 0.6237 0.4935  1 Ga 2.82, 3 Cd 2.88
8 Te 0.8697 0.3763 0.0000  1 Ga 2.82, 3 Cd 2.88

**Calculated volume**: 290 Å³/f.u.
**E above lowest polymorph**: 0.0053 eV/atom
**Magnetic moment**: 0.0 Bohr magnetons per cell
**Density of states at the Fermi level**: 2.9 states/eV per cell
**E_form (uncorrected)**: -0.35 eV per atom

=====

Record 12
Here is a geometry-optimized Cd2Ga2Te structure from Alexandria via LeMat-Bulk. Energies are from PBE-GGA.

a = 7.4951 Å, b = 7.4951 Å, c = 4.4211 Å
α = 90.00°, β = 90.00°, γ = 90.00°
Closest atoms and distances in Å follow each position.
Atoms (fractional coordinates):
1 Cd 0.1743 0.3257 0.0000  6 Ga 3.05-3.18
2 Cd 0.3257 0.8257 0.0000  6 Ga 3.05-3.18
3 Cd 0.6743 0.1743 0.0000  6 Ga 3.05-3.18
4 Cd 0.8257 0.6743 0.0000  6 Ga 3.05-3.18
5 Ga 0.1275 0.6275 0.5000  1 Ga 2.70, 2 Te 2.95
6 Ga 0.3725 0.1275 0.5000  1 Ga 2.70, 2 Te 2.95
7 Ga 0.6275 0.8725 0.5000  1 Ga 2.70, 2 Te 2.95
8 Ga 0.8725 0.3725 0.5000  1 Ga 2.70, 2 Te 2.95
9 Te 0.0000 0.0000 0.5000  4 Ga 2.95
10 Te 0.5000 0.5000 0.5000  4 Ga 2.95

**Calculated volume**: 124 Å³/f.u.
**E above lowest polymorph**: 0.0355 eV/atom
**Magnetic moment**: 0.0 Bohr magnetons per cell
**Density of states at the Fermi level**: 3.2 states/eV per cell
**E_form (uncorrected)**: 0.08 eV per atom